[1]
{
  "formula": "Na3Mg",
  "functional": "PBE",
  "state": "optimized geometry",
  "lattice_angstrom": [[5.838, 0.000, 0.000], [0.000, 7.162, -0.003], [0.000, -3.583, 6.201]],
  "species": ["Na", "Na", "Na", "Na", "Na", "Na", "Mg", "Mg"],
  "frac_coords": [[0.250, 0.171, 0.342], [0.250, 0.171, 0.829], [0.250, 0.658, 0.829], [0.750, 0.829, 0.658], [0.750, 0.829, 0.171], [0.750, 0.342, 0.171], [0.250, 0.667, 0.333], [0.750, 0.333, 0.667]],
  "spacegroup": "P6_3/mmc",
  "formation_energy_ev_per_atom": 0.0842,
  "density_kg_m3": 1195
}



[2]
{
  "formula": "DyTh2Ti",
  "functional": "PBE",
  "state": "optimized geometry",
  "lattice_angstrom": [[-1.195, -0.200, -3.241], [0.493, -2.881, -1.851], [-9.630, -5.020, 2.014]],
  "species": ["Dy", "Ti", "Th", "Th"],
  "frac_coords": [[0.498, 0.498, 0.506], [0.669, 0.669, 0.994], [0.077, 0.077, 0.769], [0.257, 0.257, 0.230]],
  "spacegroup": "R3m",
  "formation_energy_ev_per_atom": 0.2190,
  "density_kg_m3": 9943
}



[3]
{
  "formula": "Ba3UP4",
  "functional": "PBE",
  "state": "optimized geometry",
  "lattice_angstrom": [[7.562, 0.008, 0.000], [-2.644, 7.362, 0.000], [0.000, 0.000, 8.927]],
  "species": ["P", "P", "P", "P", "P", "P", "P", "P", "Ba", "Ba", "Ba", "Ba", "Ba", "Ba", "U", "U"],
  "frac_coords": [[0.497, 0.811, 0.097], [0.503, 0.189, 0.903], [0.543, 0.778, 0.670], [0.003, 0.189, 0.097], [0.043, 0.778, 0.330], [0.997, 0.811, 0.903], [0.457, 0.222, 0.330], [0.957, 0.222, 0.670], [0.750, 0.500, 0.116], [0.250, 0.000, 0.622], [0.750, 0.500, 0.624], [0.250, 0.500, 0.376], [0.750, 0.000, 0.378], [0.250, 0.500, 0.884], [0.250, 0.000, 0.119], [0.750, 0.000, 0.881]],
  "spacegroup": "P2/c",
  "formation_energy_ev_per_atom": -0.9550,
  "density_kg_m3": 5170
}



[4]
{
  "formula": "BaLaCr2",
  "functional": "PBE",
  "state": "optimized geometry",
  "lattice_angstrom": [[-2.813, 1.191, -1.772], [-1.619, -3.101, 0.486], [-3.632, 3.128, 7.867]],
  "species": ["La", "Cr", "Cr", "Ba"],
  "frac_coords": [[0.000, 0.000, 0.418], [0.500, 0.500, 0.178], [0.000, 0.000, 0.097], [0.500, 0.500, 0.807]],
  "spacegroup": "P4mm",
  "formation_energy_ev_per_atom": 0.5545,
  "density_kg_m3": 5495
}



[5]
{
  "formula": "BaMnZn",
  "functional": "PBE",
  "state": "optimized geometry",
  "lattice_angstrom": [[4.539, 0.000, 0.000], [-2.270, 3.931, 0.000], [0.000, 0.000, 4.846]],
  "species": ["Ba", "Mn", "Zn"],
  "frac_coords": [[0.000, 0.000, 0.000], [0.667, 0.333, 0.500], [0.333, 0.667, 0.500]],
  "spacegroup": "P-6m2",
  "formation_energy_ev_per_atom": 0.2604,
  "density_kg_m3": 4948
}



[6]
{
  "formula": "Pm2SnCl",
  "functional": "PBE",
  "state": "optimized geometry",
  "lattice_angstrom": [[3.511, 0.000, 0.000], [0.000, 3.511, 0.000], [0.000, 0.000, 8.317]],
  "species": ["Pm", "Pm", "Cl", "Sn"],
  "frac_coords": [[0.000, 0.000, 0.755], [0.000, 0.000, 0.245], [0.500, 0.500, 0.000], [0.500, 0.500, 0.500]],
  "spacegroup": "P4/mmm",
  "formation_energy_uncorrected_ev_per_atom": -0.9801,
  "density_kg_m3": 7195
}



[7]
{
  "formula": "Dy6Zn5",
  "functional": "PBE",
  "state": "optimized geometry",
  "lattice_angstrom": [[-1.294, 3.486, -3.348], [6.353, -0.676, -3.158], [-5.309, -6.714, -1.200]],
  "species": ["Zn", "Zn", "Zn", "Zn", "Zn", "Dy", "Dy", "Dy", "Dy", "Dy", "Dy"],
  "frac_coords": [[0.328, 0.828, 0.656], [0.672, 0.172, 0.344], [0.331, 0.331, 0.662], [0.669, 0.669, 0.338], [0.000, 0.500, 0.000], [0.500, 0.249, 0.000], [0.500, 0.751, 0.000], [0.836, 0.084, 0.672], [0.164, 0.916, 0.328], [0.164, 0.411, 0.328], [0.836, 0.589, 0.672]],
  "spacegroup": "Immm",
  "formation_energy_ev_per_atom": -0.2518,
  "density_kg_m3": 8121
}



[8]
{
  "formula": "Li8CaMg4",
  "functional": "PBE",
  "state": "optimized geometry",
  "lattice_angstrom": [[-1.948, 5.665, 0.354], [-6.985, 0.968, -3.059], [-3.919, 1.428, 6.456]],
  "species": ["Mg", "Mg", "Mg", "Mg", "Ca", "Li", "Li", "Li", "Li", "Li", "Li", "Li", "Li"],
  "frac_coords": [[0.500, 0.000, 0.500], [0.000, 0.000, 0.500], [0.000, 0.500, 0.000], [0.500, 0.500, 0.000], [0.000, 0.000, 0.000], [0.644, 0.356, 0.356], [0.286, 0.214, 0.214], [0.000, 0.644, 0.356], [0.500, 0.214, 0.786], [0.500, 0.786, 0.214], [0.356, 0.644, 0.644], [0.000, 0.356, 0.644], [0.714, 0.786, 0.786]],
  "spacegroup": "I4/mmm",
  "formation_energy_ev_per_atom": -0.0109,
  "density_kg_m3": 1065
}